## Cr5NiAs3 (PBE)

Data for a relaxed structure of Cr5NiAs3.

Properties
Energy   -7.622 eV per atom

abc: 3.630 6.362 6.362
angles: 59.04 90.00 90.00
Each line ends with the local moment (μB).
Fractional positions:
Cr: 0.000 0.996 0.250  -1.81
As: 0.500 0.015 0.985  0.02
Cr: 0.000 0.750 0.004  -1.81
As: 0.000 0.659 0.672  -0.06
As: 0.000 0.328 0.341  -0.06
Cr: 0.500 0.599 0.401  2.95
Cr: 0.500 0.406 0.010  2.85
Ni: 0.000 0.256 0.744  0.13
Cr: 0.500 0.990 0.594  2.85